AlIn2Hg | PBE | relaxed

Calculated values
The calculation puts the energy above the most stable polymorph in this dataset at 0.000 eV per atom. The calculation puts the total energy at -2.29 eV/atom. As for the symmetry: No. 166. As for the volume: 24.475 Å³/atom. The energy relative to the elements is 93 meV per atom.

a b c (Å): 10.9499 10.9499 10.9499
angles (deg): 17.00 17.00 17.00
Positions (direct):
In1 0.9926 0.9926 0.9926
In2 0.5074 0.5074 0.5074
Al1 0.2500 0.2500 0.2500
Hg1 0.7500 0.7500 0.7500

***

Al2InHg | PBE | relaxed

Calculated values
The calculation puts the total energy at -2.47 eV/atom. As for the symmetry: No. 44. As for the volume: 22.497 Å³/atom. The energy relative to the elements is 165 meV per atom.

a b c (Å): 6.7397 6.7397 6.7397
angles (deg): 153.71 138.22 50.04
Positions (direct):
In1 0.2093 0.7093 0.5000
Al1 0.9875 0.9875 0.0000
Al2 0.7969 0.2969 0.5000
Hg1 0.5064 0.5064 0.0000

***

AlInHg2 | PBE | relaxed

Calculated values
The calculation puts the energy above the most stable polymorph in this dataset at 0.081 eV per atom. The calculation puts the total energy at -1.62 eV/atom. As for the symmetry: No. 119. As for the volume: 23.731 Å³/atom. The energy relative to the elements is 154 meV per atom.

a b c (Å): 5.9103 5.9103 5.9103
angles (deg): 136.98 136.98 62.46
Positions (direct):
Hg1 0.2500 0.7500 0.5000
Hg2 0.0000 0.0000 0.0000
In1 0.5000 0.5000 0.0000
Al1 0.7500 0.2500 0.5000

***

Al3InHg3 | PBE | relaxed

Calculated values
The calculation puts the total energy at -1.73 eV/atom. As for the symmetry: No. 223. As for the volume: 29.946 Å³/atom. The energy relative to the elements is 398 meV per atom.

a b c (Å): 7.4844 7.4844 7.4844
angles (deg): 90.00 90.00 90.00
Positions (direct):
Al1 0.5000 0.0000 0.2500
Al2 0.2500 0.5000 0.0000
Al3 0.0000 0.2500 0.5000
Al4 0.7500 0.5000 0.0000
Al5 0.5000 0.0000 0.7500
Al6 0.0000 0.7500 0.5000
Hg1 0.0000 0.5000 0.7500
Hg2 0.5000 0.2500 0.0000
Hg3 0.2500 0.0000 0.5000
Hg4 0.0000 0.5000 0.2500
Hg5 0.5000 0.7500 0.0000
Hg6 0.7500 0.0000 0.5000
In1 0.0000 0.0000 0.0000
In2 0.5000 0.5000 0.5000

***

AlIn2Hg | PBE | relaxed

Calculated values
The calculation puts the energy above the most stable polymorph in this dataset at 0.056 eV per atom. The calculation puts the total energy at -2.23 eV/atom. As for the symmetry: No. 10. As for the volume: 24.480 Å³/atom. The energy relative to the elements is 149 meV per atom.

a b c (Å): 5.4795 3.1764 5.6294
angles (deg): 88.00 90.00 90.00
Positions (direct):
Al1 0.5000 0.2500 0.2500
Hg1 0.5000 0.7500 0.7500
In1 0.0000 0.4899 0.4950
In2 0.0000 0.0101 0.0050

***

KAlInHg2 | PBE | relaxed

Calculated values
The calculation puts the total energy at -1.64 eV/atom. As for the symmetry: No. 123. As for the volume: 31.503 Å³/atom. The energy relative to the elements is -5 meV per atom.

a b c (Å): 5.3770 5.3770 5.4481
angles (deg): 90.00 90.00 90.00
Positions (direct):
Al1 0.0000 0.0000 0.0000
Hg1 0.0000 0.5000 0.0000
Hg2 0.5000 0.0000 0.0000
K1 0.5000 0.5000 0.5000
In1 0.0000 0.0000 0.5000

***

La2Al4InHg3 | PBE | relaxed

Calculated values
The calculation puts the total energy at -3.21 eV/atom. As for the symmetry: No. 115. As for the volume: 23.202 Å³/atom. The energy relative to the elements is -366 meV per atom.

a b c (Å): 4.5036 4.5036 11.4395
angles (deg): 90.00 90.00 90.00
Positions (direct):
In1 0.5000 0.5000 0.5000
Hg1 0.5000 0.0000 0.8666
Hg2 0.0000 0.0000 0.5000
Hg3 0.0000 0.5000 0.1334
La1 0.0000 0.5000 0.7507
La2 0.5000 0.0000 0.2493
Al1 0.0000 0.5000 0.3581
Al2 0.5000 0.0000 0.6419
Al3 0.0000 0.0000 0.0000
Al4 0.5000 0.5000 0.0000

***

LaAlInHg | PBE | relaxed

Calculated values
The calculation puts the total energy at -3.19 eV/atom. As for the symmetry: No. 216. As for the volume: 25.447 Å³/atom. The energy relative to the elements is -266 meV per atom.

a b c (Å): 5.2409 5.2409 5.2409
angles (deg): 60.00 60.00 60.00
Positions (direct):
In1 0.2500 0.2500 0.2500
La1 0.7500 0.7500 0.7500
Hg1 0.5000 0.5000 0.5000
Al1 0.0000 0.0000 0.0000